(1)
! AcIn2PN4 (PBE, relaxed); values from VASP
&SYSTEM
  ibrav = 0, nat = 8, ntyp = 4
/
ATOMIC_SPECIES
Ac 227.00 Ac.upf
In 114.82 In.upf
P 30.97 P.upf
N 14.01 N.upf
CELL_PARAMETERS angstrom
6.0094 0.2139 0.0000
-0.2853 6.0065 0.0000
-2.8621 -3.1102 3.3105
ATOMIC_POSITIONS angstrom
Ac 2.8621 3.1102 3.3040
In 3.0047 0.1069 1.6625
In -0.1427 3.0032 1.6625
P 0.0000 0.0000 3.3085
N 0.9337 1.0146 2.3312
N 1.8492 4.0422 0.9773
N 3.8749 2.1781 0.9773
N -0.9337 -1.0146 2.3312
! Energy relative to the elements, uncorrected   -0.27 eV/atom
! Space-group type   No. 42

(2)
! BeSn3Pd (PBE, relaxed); values from VASP
&SYSTEM
  ibrav = 0, nat = 5, ntyp = 3
/
ATOMIC_SPECIES
Be 9.01 Be.upf
Sn 118.71 Sn.upf
Pd 106.42 Pd.upf
CELL_PARAMETERS angstrom
5.1886 0.0000 0.0000
0.0000 5.1886 0.0000
0.0000 0.0000 5.1886
ATOMIC_POSITIONS angstrom
Be 2.5943 2.5943 2.5943
Sn 0.0000 2.5943 0.0000
Sn 0.0000 0.0000 2.5943
Sn 2.5943 0.0000 0.0000
Pd 0.0000 0.0000 0.0000
! Offset from the most stable computed form   0.195 eV/atom
! Space-group type   No. 221
! E_form   2.852 eV per formula unit

(3)
! ScAlCoAg (PBE, relaxed); values from VASP
&SYSTEM
  ibrav = 0, nat = 4, ntyp = 4
/
ATOMIC_SPECIES
Sc 44.96 Sc.upf
Co 58.93 Co.upf
Al 26.98 Al.upf
Ag 107.87 Ag.upf
CELL_PARAMETERS angstrom
4.4628 0.0000 0.0000
2.2314 3.8649 0.0000
2.2314 1.2883 3.6438
ATOMIC_POSITIONS angstrom
Sc 4.4628 2.5766 1.8219
Co 6.6942 3.8649 2.7329
Al 0.0000 0.0000 0.0000
Ag 2.2314 1.2883 0.9110
! Space-group type   No. 216
! E_form   -1.108 eV per formula unit

(4)
! Mn2IrCl8 (PBE, relaxed); values from VASP
&SYSTEM
  ibrav = 0, nat = 11, ntyp = 3
/
ATOMIC_SPECIES
Mn 54.94 Mn.upf
Ir 192.22 Ir.upf
Cl 35.45 Cl.upf
CELL_PARAMETERS angstrom
0.2648 -1.2031 6.0051
3.5716 -7.0600 -1.6762
7.9194 -1.4615 -0.7462
ATOMIC_POSITIONS angstrom
Mn 9.9033 -7.9117 1.3291
Mn 1.8524 -1.8129 2.2537
Ir 0.0000 0.0000 0.0000
Cl 5.3190 -6.5932 -0.1589
Cl 7.6896 -3.5407 0.3481
Cl 6.4367 -3.1315 3.7417
Cl 3.5703 -3.0374 1.5933
Cl 4.0662 -6.1840 3.2346
Cl 9.9075 -7.5287 -0.9960
Cl 1.8483 -2.1959 4.5788
Cl 8.1854 -6.6873 1.9895
! Energy relative to the elements, uncorrected   -0.74 eV/atom
! Space-group type   No. 12

(5)
! NbGa2I (PBE, relaxed); values from VASP
&SYSTEM
  ibrav = 0, nat = 8, ntyp = 3
/
ATOMIC_SPECIES
I 126.90 I.upf
Nb 92.91 Nb.upf
Ga 69.72 Ga.upf
CELL_PARAMETERS angstrom
-4.0511 -2.0894 -4.6332
-3.6428 -2.9382 4.5101
-7.2961 2.7488 0.5810
ATOMIC_POSITIONS angstrom
I 0.0000 0.0000 0.0000
I -7.5971 -0.9272 -2.0569
Nb -3.8470 -2.5138 -0.0615
Nb -7.3929 -1.3516 2.5148
Ga -4.6019 -0.8780 -1.9473
Ga -4.8166 -1.5183 2.1455
Ga -8.5456 0.0244 0.6227
Ga -12.0160 -2.1857 0.0949
! Energy relative to the elements, uncorrected   0.85 eV/atom
! Offset from the most stable computed form   0.065 eV/atom
! Space-group type   No. 122

(6)
! CaCoCl2 (PBE, relaxed); values from VASP
&SYSTEM
  ibrav = 0, nat = 4, ntyp = 3
/
ATOMIC_SPECIES
Ca 40.08 Ca.upf
Co 58.93 Co.upf
Cl 35.45 Cl.upf
CELL_PARAMETERS angstrom
3.7825 0.0000 0.0000
0.0000 4.7485 -0.0040
0.0000 0.2422 4.7363
ATOMIC_POSITIONS angstrom
Ca 1.8913 3.7430 3.5492
Co 1.8913 1.2477 1.1831
Cl 0.0000 0.1769 0.1687
Cl 0.0000 2.3184 2.1974
! Energy relative to the elements, uncorrected   -0.75 eV/atom
! Offset from the most stable computed form   0.183 eV/atom
! Space-group type   No. 65

How do the records compare in magnetization? In the order shown, they have 0.000, 0.000, 0.185, 8.984, 0.000, 1.000 μB/cell.
How do the records compare in Fermi-level density of states? In the order shown, they have 4.61, 2.36, 2.77, 9.72, 4.07, 0.88 states/eV per cell.
How do the records compare in calculated total energy? In the order shown, they have -6.31, -3.62, -5.28, -4.56, -3.57, -3.95 eV per atom.